Computed, not measured: LaMg2Mo at its PBEsol-relaxed geometry at the meta-GGA SCAN level of DFT.

Calculated values
Calculated total energy (eV/cell): -173.12
D(E_F) (states/eV per cell): 5.92
E above lowest polymorph (eV/atom): 0.000
Energy relative to the elements (eV per atom): 0.345

Lattice parameters (Å, degrees): 3.3111 4.7900 11.0868 90.00 90.00 90.00
Space group Immm (No. 71)
Asymmetric unit:
La 0.0000 0.0000 0.0000 [2 per cell]
Mg 0.0000 0.5000 0.2173 [4 per cell]
Mo 0.0000 0.0000 0.5000 [2 per cell]



Computed, not measured: Co3TcSb at its PBEsol-relaxed geometry at the meta-GGA SCAN level of DFT.

Calculated values
Calculated total energy (eV/cell): -116.71
D(E_F) (states/eV per cell): 6.07
Formation energy (no corrections) (eV/atom): 1.50
E above lowest polymorph (eV/atom): 0.000

Lattice parameters (Å, degrees): 4.3516 4.3516 4.3516 90.00 90.00 90.00
Space group Pm-3m (No. 221)
Asymmetric unit:
Co 0.0000 0.0000 0.5000 [3 per cell]
Tc 0.0000 0.0000 0.0000 [1 per cell]
Sb 0.5000 0.5000 0.5000 [1 per cell]



Computed, not measured: Co2AsS at its PBEsol-relaxed geometry at the meta-GGA SCAN level of DFT.

Calculated values
Calculated total energy (eV/cell): -253.09
D(E_F) (states/eV per cell): 9.18
Formation energy (no corrections) (eV/atom): 0.29

Lattice parameters (Å, degrees): 5.7869 5.7869 5.7869 90.00 90.00 90.00
Space group Fm-3m (No. 225)
Asymmetric unit:
Co 0.2500 0.2500 0.2500 [8 per cell]
As 0.0000 0.0000 0.0000 [4 per cell]
S 0.0000 0.0000 0.5000 [4 per cell]